No. 1
NdTm4ScS8: optimized geometry, PBE-GGA.

The space group is R3m (No. 160, hexagonal axes) and the conventional cell measures 8.0002, 8.0002 and 19.2112 Å, with angles of 90.00, 90.00 and 120.00 degrees. The asymmetric unit holds Nd at (0.0000, 0.0000, 0.0000), Tm at (0.0000, 0.0000, 0.2435), Tm at (0.0007, 0.5004, 0.1207), Sc at (0.0000, 0.0000, 0.6195), S at (0.0000, 0.0000, 0.3774), S at (0.0000, 0.0000, 0.8605), S at (0.0389, 0.5195, 0.3720) and S at (0.1783, 0.3565, 0.2035).

The value obtained for the uncorrected formation energy is -1.891 eV/atom.

=====

No. 2
Sr3OsC: optimized geometry, PBE-GGA.

The space group is Pm-3m (No. 221) and the conventional cell measures 5.226, 5.226 and 5.226 Å, with angles of 90.00, 90.00 and 90.00 degrees. The asymmetric unit holds Sr at (0.000, 0.000, 0.500), Os at (0.500, 0.500, 0.500) and C at (0.000, 0.000, 0.000).

As for the formation energy: 23.73 kcal/mol of atoms. The calculation puts the offset from the most stable computed form at 0 meV/atom.

=====

No. 3
BaIn2GaOs: optimized geometry, PBE-GGA.

The space group is P4/mmm (No. 123) and the conventional cell measures 5.234, 5.234 and 4.924 Å, with angles of 90.00, 90.00 and 90.00 degrees. The asymmetric unit holds Ba at (0.000, 0.000, 0.000), In at (0.000, 0.500, 0.500), Ga at (0.500, 0.500, 0.000) and Os at (0.500, 0.500, 0.500).

As for the formation energy: -4.72 kcal/mol of atoms.

=====

No. 4
TcMo2W: optimized geometry, PBE-GGA.

The space group is R3m (No. 160, hexagonal axes) and the conventional cell measures 2.7886, 2.7886 and 28.1802 Å, with angles of 90.00, 90.00 and 120.00 degrees. The asymmetric unit holds Tc at (0.0000, 0.0000, 0.0000), Mo at (0.0000, 0.0000, 0.2544), Mo at (0.0000, 0.0000, 0.5010) and W at (0.0000, 0.0000, 0.7472).

As for the formation energy: 6.75 kcal/mol of atoms. The calculation puts the offset from the most stable computed form at 277 meV/atom.

=====

These records have calculated total energy values of -265.44; -20.35; -22.68; -131.43 eV for the cell shown, in the order they appear.